No. 1
A relaxed structure of Ni4SnP, computed with PBE-GGA.

* formation energy from the elements: -0.1827 eV per atom
* D(E_F): 7.81 states/eV/cell
* ΔE to the lowest computed polymorph: 6.7 kJ/mol of atoms

Lattice parameters (Å, degrees): 5.025 5.850 5.850 110.31 97.99 97.99
Element x y z (fractional)
Ni (0.854, 0.608, 0.834)
Sn (0.750, 0.621, 0.379)
Ni (0.646, 0.166, 0.392)
P (0.750, 0.980, 0.020)
Ni (0.354, 0.834, 0.608)
Ni (0.590, 0.286, 0.951)
Sn (0.250, 0.379, 0.621)
Ni (0.410, 0.714, 0.049)
Ni (0.910, 0.049, 0.714)
P (0.250, 0.020, 0.980)
Ni (0.146, 0.392, 0.166)
Ni (0.090, 0.951, 0.286)



No. 2
A relaxed structure of Li2Zn2Cu3, computed with PBE-GGA.

* formation energy from the elements: -0.1145 eV per atom
* D(E_F): 1.64 states/eV/cell

Lattice parameters (Å, degrees): 3.922 4.678 5.479 94.33 90.00 114.78
Element x y z (fractional)
Zn (0.854, 0.707, 0.582)
Cu (0.000, 0.000, 0.000)
Zn (0.146, 0.293, 0.418)
Cu (0.280, 0.560, 0.859)
Cu (0.720, 0.440, 0.141)
Li (0.568, 0.135, 0.728)
Li (0.432, 0.865, 0.272)



No. 3
A relaxed structure of La2SmGa3, computed with PBE-GGA.

* formation energy from the elements: -0.5715 eV per atom
* D(E_F): 3.85 states/eV/cell

Lattice parameters (Å, degrees): 3.721 3.721 11.250 90.00 90.00 90.00
Element x y z (fractional)
La (0.500, 0.500, 0.830)
Ga (0.000, 0.000, 0.345)
La (0.500, 0.500, 0.170)
Ga (0.000, 0.000, 0.655)
Ga (0.000, 0.000, 0.000)
Sm (0.500, 0.500, 0.500)



No. 4
A relaxed structure of SrPm2DyS4, computed with PBE-GGA.

* energy relative to the elements, uncorrected: -2.0128 eV per atom
* D(E_F): 2.86 states/eV/cell

Lattice parameters (Å, degrees): 4.025 7.038 7.016 70.95 90.00 90.00
Element x y z (fractional)
Pm (0.000, 0.000, 0.000)
S (0.500, 0.744, 0.261)
S (0.500, 0.256, 0.739)
Pm (0.500, 0.000, 0.500)
S (0.000, 0.248, 0.260)
Sr (0.500, 0.500, 0.000)
S (0.000, 0.752, 0.740)
Dy (0.000, 0.500, 0.500)



No. 5
A relaxed structure of K2GePdS4, computed with PBE-GGA.

* energy relative to the elements, uncorrected: -0.6577 eV per atom

Lattice parameters (Å, degrees): 6.641 8.036 10.488 82.48 71.54 65.59
Element x y z (fractional)
S (0.325, 0.800, 0.069)
Ge (0.250, 0.500, 0.500)
Ge (0.500, 0.000, 0.000)
Pd (0.000, 0.000, 0.000)
S (0.606, 0.200, 0.069)
S (0.144, 0.300, 0.431)
K (0.918, 0.500, 0.164)
S (0.195, 0.200, 0.931)
K (0.832, 0.000, 0.336)
K (0.168, 0.000, 0.664)
K (0.582, 0.500, 0.836)
S (0.425, 0.700, 0.431)
Pd (0.750, 0.500, 0.500)
S (0.876, 0.700, 0.569)
S (0.555, 0.300, 0.569)
S (0.874, 0.800, 0.931)



No. 6
A relaxed structure of CsI3N, computed with PBE-GGA.

* energy relative to the elements, uncorrected: 0.2541 eV per atom
* D(E_F): 2.63 states/eV/cell
* ΔE to the lowest computed polymorph: 0.0 kJ/mol of atoms

Lattice parameters (Å, degrees): 5.395 5.395 5.395 90.00 90.00 90.00
Element x y z (fractional)
I (0.500, 0.000, 0.000)
Cs (0.500, 0.500, 0.500)
N (0.000, 0.000, 0.000)
I (0.000, 0.500, 0.000)
I (0.000, 0.000, 0.500)



No. 7
A relaxed structure of AsOsPb2, computed with PBE-GGA.

* formation energy from the elements: 0.3168 eV per atom
* D(E_F): 1.46 states/eV/cell

Lattice parameters (Å, degrees): 3.266 6.180 6.180 51.51 90.00 90.00
Element x y z (fractional)
Pb (0.500, 0.244, 0.244)
Os (0.500, 0.736, 0.736)
As (0.000, 0.571, 0.571)
Pb (0.000, 0.950, 0.950)



No. 8
A relaxed structure of VSn3H, computed with PBE-GGA.

* D(E_F): 3.62 states/eV/cell
* ΔE to the lowest computed polymorph: 0.0 kJ/mol of atoms

Lattice parameters (Å, degrees): 4.602 4.602 4.602 90.00 90.00 90.00
Element x y z (fractional)
Sn (0.000, 0.500, 0.000)
V (0.500, 0.500, 0.500)
Sn (0.500, 0.000, 0.000)
H (0.000, 0.000, 0.000)
Sn (0.000, 0.000, 0.500)